# AcTlS4 PBE optimized geometry
# E in eV per atom: -4.047
# Crystal system: cubic
# DOS(E_F) in states/eV/cell: 13.45
data_AcTlS4
_cell_length_a 8.090
_cell_length_b 8.090
_cell_length_c 8.090
_cell_angle_alpha 90.00
_cell_angle_beta 90.00
_cell_angle_gamma 90.00
_symmetry_space_group_name_H-M 'F -4 3 m'
_symmetry_Int_Tables_number 216
_symmetry_space_group_name_Hall 'F -4 2 3'
loop_
_atom_site_label
_atom_site_type_symbol
_atom_site_fract_x
_atom_site_fract_y
_atom_site_fract_z
Ac1 Ac 0.000 0.000 0.000
Tl1 Tl 0.250 0.250 0.250
S1 S 0.125 0.125 0.625

# Ag2SbMo PBE optimized geometry
# E in eV per atom: -4.780
# Crystal system: monoclinic
# DOS(E_F) in states/eV/cell: 3.35
data_Ag2SbMo
_cell_length_a 5.555
_cell_length_b 10.639
_cell_length_c 3.027
_cell_angle_alpha 90.00
_cell_angle_beta 122.18
_cell_angle_gamma 90.00
_symmetry_space_group_name_H-M 'C 1 2/m 1'
_symmetry_Int_Tables_number 12
loop_
_symmetry_equiv_pos_as_xyz
'x,y,z'
'-x,-y,-z'
'-x,y,-z'
'x,-y,z'
'x+1/2,y+1/2,z'
'-x+1/2,-y+1/2,-z'
'-x+1/2,y+1/2,-z'
'x+1/2,-y+1/2,z'
loop_
_atom_site_label
_atom_site_type_symbol
_atom_site_fract_x
_atom_site_fract_y
_atom_site_fract_z
Ag1 Ag 0.250 0.250 0.000
Sb1 Sb 0.000 0.000 0.500
Mo1 Mo 0.000 0.500 0.500

# Li2SnPd6 PBE optimized geometry
# Polymorph energy (0 for the lowest one) in meV per atom: 84
# E in eV per atom: -4.658
# Crystal system: orthorhombic
# DOS(E_F) in states/eV/cell: 7.35
data_Li2SnPd6
_cell_length_a 4.622
_cell_length_b 7.373
_cell_length_c 8.418
_cell_angle_alpha 90.00
_cell_angle_beta 90.00
_cell_angle_gamma 90.00
_symmetry_space_group_name_H-M 'I m m m'
_symmetry_Int_Tables_number 71
_symmetry_space_group_name_Hall '-I 2 2'
loop_
_atom_site_label
_atom_site_type_symbol
_atom_site_fract_x
_atom_site_fract_y
_atom_site_fract_z
Li1 Li 0.000 0.000 0.157
Sn1 Sn 0.000 0.000 0.500
Pd1 Pd 0.000 0.304 0.000
Pd2 Pd 0.000 0.309 0.331

# FeReMo2 PBE optimized geometry
# Polymorph energy (0 for the lowest one) in meV per atom: 3
# E in eV per atom: -10.552
# Crystal system: monoclinic
# DOS(E_F) in states/eV/cell: 2.69
data_FeReMo2
_cell_length_a 2.659
_cell_length_b 4.386
_cell_length_c 5.154
_cell_angle_alpha 90.00
_cell_angle_beta 99.56
_cell_angle_gamma 90.00
_symmetry_space_group_name_H-M 'P 1 m 1'
_symmetry_Int_Tables_number 6
loop_
_symmetry_equiv_pos_as_xyz
'x,y,z'
'x,-y,z'
loop_
_atom_site_label
_atom_site_type_symbol
_atom_site_fract_x
_atom_site_fract_y
_atom_site_fract_z
Fe1 Fe 0.000 0.000 0.000
Re1 Re 0.252 0.500 0.752
Mo1 Mo 0.500 0.000 0.504
Mo2 Mo 0.743 0.500 0.240

# SmZnGaAg PBE optimized geometry
# E in eV per atom: -3.307
# Crystal system: cubic
# DOS(E_F) in states/eV/cell: 6.30
data_SmZnGaAg
_cell_length_a 6.827
_cell_length_b 6.827
_cell_length_c 6.827
_cell_angle_alpha 90.00
_cell_angle_beta 90.00
_cell_angle_gamma 90.00
_symmetry_space_group_name_H-M 'F -4 3 m'
_symmetry_Int_Tables_number 216
_symmetry_space_group_name_Hall 'F -4 2 3'
loop_
_atom_site_label
_atom_site_type_symbol
_atom_site_fract_x
_atom_site_fract_y
_atom_site_fract_z
Sm1 Sm 0.000 0.000 0.000
Zn1 Zn 0.250 0.250 0.250
Ga1 Ga 0.250 0.250 0.750
Ag1 Ag 0.000 0.000 0.500

# HRhSCl2 PBE optimized geometry
# Polymorph energy (0 for the lowest one) in meV per atom: 316
# E in eV per atom: -2.957
# Crystal system: tetragonal
# DOS(E_F) in states/eV/cell: 5.04
data_HRhSCl2
_cell_length_a 5.010
_cell_length_b 5.010
_cell_length_c 3.180
_cell_angle_alpha 90.00
_cell_angle_beta 90.00
_cell_angle_gamma 90.00
_symmetry_space_group_name_H-M 'P 4/m m m'
_symmetry_Int_Tables_number 123
_symmetry_space_group_name_Hall '-P 4 2'
loop_
_atom_site_label
_atom_site_type_symbol
_atom_site_fract_x
_atom_site_fract_y
_atom_site_fract_z
H1 H 0.000 0.000 0.000
Rh1 Rh 0.500 0.500 0.500
S1 S 0.000 0.000 0.500
Cl1 Cl 0.000 0.500 0.000

# TiNb3S6 PBE optimized geometry
# Polymorph energy (0 for the lowest one) in meV per atom: 0
# E in eV per atom: -7.540
# Crystal system: hexagonal
# DOS(E_F) in states/eV/cell: 10.04
data_TiNb3S6
_cell_length_a 5.8065
_cell_length_b 5.8065
_cell_length_c 12.5321
_cell_angle_alpha 90.00
_cell_angle_beta 90.00
_cell_angle_gamma 120.00
_symmetry_space_group_name_H-M 'P 63 2 2'
_symmetry_Int_Tables_number 182
_symmetry_space_group_name_Hall 'P 6c 2c'
loop_
_atom_site_label
_atom_site_type_symbol
_atom_site_fract_x
_atom_site_fract_y
_atom_site_fract_z
Ti1 Ti 0.3333 0.6667 0.2500
Nb1 Nb 0.0000 0.0000 0.0000
Nb2 Nb 0.3333 0.6667 0.5021
S1 S 0.0022 0.3339 0.1266

# YH6Pt2Rh PBE optimized geometry
# E in eV per atom: -4.912
# Crystal system: triclinic
# DOS(E_F) in states/eV/cell: 0.86
data_YH6Pt2Rh
_cell_length_a 4.811
_cell_length_b 4.811
_cell_length_c 5.134
_cell_angle_alpha 114.06
_cell_angle_beta 114.79
_cell_angle_gamma 96.59
_symmetry_space_group_name_H-M 'P 1'
_symmetry_Int_Tables_number 1
loop_
_symmetry_equiv_pos_as_xyz
'x,y,z'
loop_
_atom_site_label
_atom_site_type_symbol
_atom_site_fract_x
_atom_site_fract_y
_atom_site_fract_z
Y1 Y 0.000 0.000 0.000
H1 H 0.091 0.557 0.649
H2 H 0.100 0.075 0.582
H3 H 0.455 0.794 0.249
H4 H 0.508 0.481 0.583
H5 H 0.548 0.183 0.078
H6 H 0.894 0.531 0.081
Pt1 Pt 0.274 0.737 0.487
Pt2 Pt 0.750 0.213 0.487
Rh1 Rh 0.479 0.447 0.927